Compound: LiIn4Rh2
Source: Alexandria via LeMat-Bulk
Functional: PBE-GGA
Structure: relaxed

Cell: 4.5900 4.5900 22.0249 Å, 90.00 90.00 120.00°
Space group R-3m (No. 166, hexagonal axes)
Asymmetric unit:
Li  0.0000  0.0000  0.0000 x3
In  0.0000  0.0000  0.1302 x6
In  0.0000  0.0000  0.3829 x6
Rh  0.0000  0.0000  0.2555 x6

Results
DFT formation energy: -0.387 eV per atom
ρ: 8.33 g cm⁻³
DOS(E_F): 0.499 states/eV per atom